This record from Alexandria describes Cs2HfI5Cl after structural relaxation. The functional is PBE-GGA.

Results
Its formation energy from raw total energies is -1.38 eV/atom. For the magnetic moment, the calculation gives 0.00 μB/f.u.

a = 8.354 Å, b = 8.354 Å, c = 8.354 Å
α = 91.66°, β = 119.05°, γ = 119.05°
Atoms (fractional coordinates):
I 0.520 0.757 0.757
Cs 0.500 0.748 0.248
I 0.480 0.237 0.237
Hf 0.000 0.993 0.993
I 0.000 0.240 0.240
I 0.000 0.757 0.237
I 0.000 0.237 0.757
Cs 0.500 0.248 0.748
Cl 0.000 0.785 0.785

***

This record from Alexandria describes Sc5Se4N after structural relaxation. The functional is PBE-GGA.

Results
Its formation energy from raw total energies is -1.59 eV/atom. For the magnetic moment, the calculation gives 0.00 μB/f.u.

a = 5.309 Å, b = 6.540 Å, c = 6.540 Å
α = 80.52°, β = 66.05°, γ = 66.05°
Atoms (fractional coordinates):
Sc 0.500 0.000 0.000
Sc 0.088 0.666 0.159
N 0.002 0.000 0.000
Se 0.594 0.601 0.214
Se 0.194 0.214 0.399
Se 0.808 0.786 0.601
Se 0.408 0.399 0.786
Sc 0.914 0.334 0.841
Sc 0.248 0.841 0.666
Sc 0.755 0.159 0.334

***

This record from Alexandria describes Ac2PrAg after structural relaxation. The functional is PBE-GGA.

Results
The formation enthalpy at 0 K comes out at 0.297 eV/atom. For the magnetic moment, the calculation gives 0.00 μB/f.u. Its energy above the lowest structure with this stoichiometry is 405 meV per atom.

a = 3.830 Å, b = 3.830 Å, c = 12.564 Å
α = 81.23°, β = 81.23°, γ = 60.00°
Atoms (fractional coordinates):
Ac 0.084 0.084 0.747
Ag 0.000 0.000 0.000
Pr 0.500 0.500 0.500
Ac 0.916 0.916 0.253

***

This record from Alexandria describes PmMgTl after structural relaxation. The functional is PBE-GGA.

Results
The formation enthalpy at 0 K comes out at -0.033 eV/atom. For the magnetic moment, the calculation gives 0.00 μB/f.u. Its energy above the lowest structure with this stoichiometry is 324 meV per atom.

a = 7.034 Å, b = 7.034 Å, c = 7.034 Å
α = 90.00°, β = 90.00°, γ = 90.00°
Atoms (fractional coordinates):
Pm 0.489 0.989 0.511
Tl 0.003 0.997 0.497
Mg 0.260 0.260 0.260
Pm 0.989 0.511 0.489
Pm 0.011 0.011 0.011
Pm 0.511 0.489 0.989
Tl 0.997 0.497 0.003
Mg 0.740 0.760 0.240
Tl 0.503 0.503 0.503
Mg 0.760 0.240 0.740
Mg 0.240 0.740 0.760
Tl 0.497 0.003 0.997

***

This record from Alexandria describes PaVB after structural relaxation. The functional is PBE-GGA.

Results
The formation enthalpy at 0 K comes out at -0.025 eV/atom. For the magnetic moment, the calculation gives 0.00 μB/f.u. Its energy above the lowest structure with this stoichiometry is 0 meV per atom.

a = 3.041 Å, b = 3.041 Å, c = 5.164 Å
α = 107.13°, β = 107.13°, γ = 90.00°
Atoms (fractional coordinates):
B 0.571 0.571 0.143
Pa 0.273 0.273 0.546
V 0.006 0.006 0.012

***

This record from Alexandria describes PmNd5Pb6 after structural relaxation. The functional is PBE-GGA.

Results
The formation enthalpy at 0 K comes out at -0.519 eV/atom. For the magnetic moment, the calculation gives 0.00 μB/f.u. Its energy above the lowest structure with this stoichiometry is 0 meV per atom.

a = 5.062 Å, b = 9.230 Å, c = 8.132 Å
α = 90.00°, β = 71.87°, γ = 90.00°
Each line ends with the local moment (μB).
Atoms (fractional coordinates):
Nd 0.333 0.500 0.333  0.09
Pb 0.834 0.750 0.333  0.00
Pb 0.166 0.750 0.667  0.00
Pb 0.166 0.250 0.667  0.00
Nd 0.000 0.500 0.000  0.09
Pm 0.000 0.000 0.000  -0.10
Nd 0.666 0.000 0.667  -0.09
Pb 0.500 0.249 0.000  0.00
Pb 0.834 0.250 0.333  0.00
Pb 0.500 0.751 0.000  0.00
Nd 0.667 0.500 0.667  0.09
Nd 0.334 0.000 0.333  -0.09

***

This record from Alexandria describes RbThS3 after structural relaxation. The functional is PBE-GGA.

Results
Its formation energy from raw total energies is -1.54 eV/atom. For the magnetic moment, the calculation gives 0.00 μB/f.u. Its energy above the lowest structure with this stoichiometry is 29 meV per atom.

a = 7.517 Å, b = 9.518 Å, c = 12.448 Å
α = 134.88°, β = 90.00°, γ = 90.00°
Atoms (fractional coordinates):
Rb 0.241 0.079 0.492
Th 0.308 0.945 0.840
Th 0.692 0.055 0.160
S 0.575 0.890 0.245
S 0.470 0.255 0.125
Rb 0.741 0.421 0.008
S 0.075 0.610 0.255
S 0.030 0.755 0.625
S 0.925 0.390 0.745
Rb 0.759 0.921 0.508
S 0.970 0.245 0.375
Th 0.192 0.445 0.340
Th 0.808 0.555 0.660
S 0.001 0.851 0.953
S 0.530 0.745 0.875
S 0.501 0.649 0.547
S 0.999 0.149 0.047
Rb 0.259 0.579 0.992
S 0.499 0.351 0.453
S 0.425 0.110 0.755

***

This record from Alexandria describes PaPt2Rh4 after structural relaxation. The functional is PBE-GGA.

Results
The formation enthalpy at 0 K comes out at -0.402 eV/atom. For the magnetic moment, the calculation gives 0.00 μB/f.u.

a = 6.619 Å, b = 7.377 Å, c = 6.516 Å
α = 119.67°, β = 113.67°, γ = 95.52°
Atoms (fractional coordinates):
Rh 0.073 0.665 0.944
Pa 0.884 0.018 0.944
Pt 0.288 0.376 0.714
Rh 0.595 0.580 0.628
Rh 0.027 0.937 0.380
Rh 0.337 0.116 0.279
Rh 0.814 0.292 0.432
Rh 0.208 0.374 0.092
Pt 0.681 0.593 0.270
Pa 0.143 0.644 0.519
Rh 0.447 0.116 0.918
Pt 0.742 0.332 0.838
Rh 0.462 0.869 0.470
Pt 0.548 0.838 0.072

***

This record from Alexandria describes MnCr2Ni after structural relaxation. The functional is PBE-GGA.

Results
The formation enthalpy at 0 K comes out at 0.085 eV/atom. For the magnetic moment, the calculation gives 0.58 μB/f.u.

a = 2.436 Å, b = 2.436 Å, c = 7.802 Å
α = 90.00°, β = 90.00°, γ = 103.94°
Each line ends with the local moment (μB).
Atoms (fractional coordinates):
Mn 0.500 0.500 0.250  1.03
Ni 0.500 0.500 0.750  -0.10
Cr 0.000 0.000 0.500  -0.18
Cr 0.000 0.000 0.000  -0.18

***

This record from Alexandria describes LiYSn after structural relaxation. The functional is PBE-GGA.

Results
The formation enthalpy at 0 K comes out at 1.027 eV/atom. For the magnetic moment, the calculation gives 0.00 μB/f.u.

a = 4.935 Å, b = 4.935 Å, c = 12.042 Å
α = 90.00°, β = 90.00°, γ = 120.00°
Atoms (fractional coordinates):
Sn 0.000 0.000 0.000
Y 0.000 0.000 0.750
Y 0.000 0.000 0.250
Sn 0.000 0.000 0.500
Li 0.333 0.667 0.250
Li 0.667 0.333 0.750

***

This record from Alexandria describes Hf3TiBe after structural relaxation. The functional is PBE-GGA.

Results
The formation enthalpy at 0 K comes out at 0.504 eV/atom. For the magnetic moment, the calculation gives 0.00 μB/f.u. Its energy above the lowest structure with this stoichiometry is 0 meV per atom.

a = 4.681 Å, b = 4.681 Å, c = 4.681 Å
α = 90.00°, β = 90.00°, γ = 90.00°
Atoms (fractional coordinates):
Hf 0.000 0.000 0.500
Ti 0.500 0.500 0.500
Hf 0.000 0.500 0.000
Be 0.000 0.000 0.000
Hf 0.500 0.000 0.000

***

This record from Alexandria describes La2HgSb after structural relaxation. The functional is PBE-GGA.

Results
Its formation energy from raw total energies is -0.72 eV/atom. For the magnetic moment, the calculation gives 0.00 μB/f.u. Its energy above the lowest structure with this stoichiometry is 115 meV per atom.

a = 6.463 Å, b = 6.463 Å, c = 6.463 Å
α = 137.90°, β = 137.90°, γ = 61.06°
Atoms (fractional coordinates):
Hg 0.750 0.250 0.500
La 0.000 0.000 0.000
La 0.250 0.750 0.500
Sb 0.500 0.500 0.000